1.
## MgReW (PBE)

Data for MgReW after structural relaxation.

```
MgReW
1.0
0.000 2.263 6.956
1.564 0.000 6.956
1.564 2.263 0.000
Mg Re W
1 1 1
Direct
0.000 0.000 0.000
0.330 0.330 0.670
0.676 0.676 0.324
```

formation enthalpy at 0 K: 275.5 meV per atom
distance to the lowest polymorph of the same formula: 2.140 kcal/mol of atoms
calculated total energy: -8.723 eV/atom
N(E_F): 2.03 states/eV per cell

***

2.
## MgReW (PBE)

Data for MgReW after structural relaxation.

```
MgReW
1.0
-1.338 2.222 4.042
1.338 -2.222 4.042
1.338 2.222 -4.042
Mg Re W
1 1 1
Direct
0.000 0.000 0.000
0.664 0.664 0.000
0.334 0.334 0.000
```

formation enthalpy at 0 K: 359.1 meV per atom
distance to the lowest polymorph of the same formula: 4.066 kcal/mol of atoms
calculated total energy: -8.640 eV/atom
N(E_F): 1.59 states/eV per cell